No. 1
{"formula": "Cs2ErGaI6", "functional": "PBE-GGA", "state": "relaxed", "cell": [[8.7987, 0.0000, 0.0000], [0.0000, 12.4516, 0.0000], [0.0000, 0.0000, 8.8006]], "species": ["Cs", "Cs", "Cs", "Cs", "Er", "Er", "Ga", "Ga", "I", "I", "I", "I", "I", "I", "I", "I", "I", "I", "I", "I"], "frac_coords": [[0.2500, 0.9998, 0.2487], [0.2500, 0.5002, 0.2487], [0.7500, 0.0002, 0.7513], [0.7500, 0.4998, 0.7513], [0.2500, 0.2500, 0.7514], [0.7500, 0.7500, 0.2486], [0.2500, 0.7500, 0.7483], [0.7500, 0.2500, 0.2517], [0.0078, 0.2500, 0.5101], [0.0085, 0.2500, 0.9935], [0.2500, 0.0084, 0.7511], [0.2500, 0.4916, 0.7511], [0.4915, 0.2500, 0.9935], [0.4922, 0.2500, 0.5101], [0.5078, 0.7500, 0.4899], [0.5085, 0.7500, 0.0065], [0.7500, 0.5084, 0.2489], [0.7500, 0.9916, 0.2489], [0.9915, 0.7500, 0.0065], [0.9922, 0.7500, 0.4899]], "magnetic_moment_mub_per_cell": 0.00}


No. 2
{"formula": "Cs2ErGaO4", "functional": "PBE-GGA", "state": "relaxed", "cell": [[0.0000, 6.4645, 11.6499], [2.7588, 0.0000, 11.6499], [2.7588, 6.4645, 0.0000]], "species": ["Cs", "Cs", "Cs", "Cs", "Er", "Er", "Ga", "Ga", "O", "O", "O", "O", "O", "O", "O", "O"], "frac_coords": [[0.0536, 0.0536, 0.6964], [0.3036, 0.3036, 0.9464], [0.6964, 0.6964, 0.0536], [0.9464, 0.9464, 0.3036], [0.1250, 0.1250, 0.1250], [0.8750, 0.8750, 0.8750], [0.3750, 0.3750, 0.3750], [0.6250, 0.6250, 0.6250], [0.0268, 0.6401, 0.5537], [0.2794, 0.5537, 0.6401], [0.3599, 0.9732, 0.7206], [0.4463, 0.7206, 0.9732], [0.5537, 0.2794, 0.0268], [0.6401, 0.0268, 0.2794], [0.7206, 0.4463, 0.3599], [0.9732, 0.3599, 0.4463]], "magnetic_moment_mub_per_cell": 0.30}


No. 3
{"formula": "Cs3ErGa2O6", "functional": "PBE-GGA", "state": "relaxed", "cell": [[6.2299, 0.0000, 0.0000], [-3.1149, 5.3952, 0.0000], [0.0000, 0.0000, 7.7600]], "species": ["Cs", "Cs", "Cs", "Er", "Ga", "Ga", "O", "O", "O", "O", "O", "O"], "frac_coords": [[0.0000, 0.0000, 0.0000], [0.3333, 0.6667, 0.7620], [0.6667, 0.3333, 0.2380], [0.0000, 0.0000, 0.5000], [0.3333, 0.6667, 0.3251], [0.6667, 0.3333, 0.6749], [0.1671, 0.3343, 0.3196], [0.1671, 0.8329, 0.3196], [0.3343, 0.1671, 0.6804], [0.6657, 0.8329, 0.3196], [0.8329, 0.1671, 0.6804], [0.8329, 0.6657, 0.6804]], "magnetic_moment_mub_per_cell": 0.00}


No. 4
{"formula": "Cs3ErGa2S6", "functional": "PBE-GGA", "state": "relaxed", "cell": [[7.4036, 0.0000, 0.0000], [-3.7018, 6.4117, 0.0000], [0.0000, 0.0000, 9.2748]], "species": ["Cs", "Cs", "Cs", "Er", "Ga", "Ga", "S", "S", "S", "S", "S", "S"], "frac_coords": [[0.0000, 0.0000, 0.0000], [0.3333, 0.6667, 0.7137], [0.6667, 0.3333, 0.2863], [0.0000, 0.0000, 0.5000], [0.3333, 0.6667, 0.3209], [0.6667, 0.3333, 0.6791], [0.1624, 0.3248, 0.3074], [0.1624, 0.8376, 0.3074], [0.3248, 0.1624, 0.6926], [0.6752, 0.8376, 0.3074], [0.8376, 0.1624, 0.6926], [0.8376, 0.6752, 0.6926]], "magnetic_moment_mub_per_cell": 0.00}


Calculated uncorrected formation energy in order - -1.2586, -1.9999, -1.9888, -1.1683 eV/atom